[1]
CoSbOs2 | PBE | optimized geometry

Properties
As for the volume: 60.91 Å³ per cell. As for the polymorph energy (0 for the lowest one): 222 meV/atom. Its total magnetization is 0.67 Bohr magnetons per cell.

Geometry as CIF:
```
data_CoSbOs2
_chemical_formula_sum 'Co1 Sb1 Os2'
_symmetry_space_group_name_H-M 'P m m m'
_symmetry_Int_Tables_number 47
_symmetry_space_group_name_Hall '-P 2 2'
_cell_length_a 2.864
_cell_length_b 4.573
_cell_length_c 4.652
_cell_angle_alpha 90.00
_cell_angle_beta 90.00
_cell_angle_gamma 90.00
loop_
_atom_site_label
_atom_site_type_symbol
_atom_site_fract_x
_atom_site_fract_y
_atom_site_fract_z
Co1 Co 0.000 0.000 0.000
Sb1 Sb 0.500 0.500 0.000
Os1 Os 0.000 0.500 0.500
Os2 Os 0.500 0.000 0.500
```


[2]
SrAg2Ir | PBE | optimized geometry

Properties
As for the volume: 333.62 Å³ per cell. As for the polymorph energy (0 for the lowest one): 149 meV/atom. Its total magnetization is 0.00 Bohr magnetons per cell. The calculated formation energy comes out at 0.21 eV/atom.

Geometry as CIF:
```
data_SrAg2Ir
_chemical_formula_sum 'Sr4 Ag8 Ir4'
_symmetry_space_group_name_H-M 'F m -3 m'
_symmetry_Int_Tables_number 225
_symmetry_space_group_name_Hall '-F 4 2 3'
_cell_length_a 6.936
_cell_length_b 6.936
_cell_length_c 6.936
_cell_angle_alpha 90.00
_cell_angle_beta 90.00
_cell_angle_gamma 90.00
loop_
_atom_site_label
_atom_site_type_symbol
_atom_site_fract_x
_atom_site_fract_y
_atom_site_fract_z
Sr1 Sr 0.000 0.000 0.000
Ag1 Ag 0.250 0.250 0.250
Ir1 Ir 0.000 0.000 0.500
```


[3]
Rb2MnZnH6 | PBE | optimized geometry

Properties
As for the volume: 618.69 Å³ per cell. Its total magnetization is 12.00 Bohr magnetons per cell. Its total energy is -3.248 eV per atom.

Geometry as CIF:
```
data_Rb2MnZnH6
_chemical_formula_sum 'Rb8 Mn4 Zn4 H24'
_symmetry_space_group_name_H-M 'F m -3 m'
_symmetry_Int_Tables_number 225
_symmetry_space_group_name_Hall '-F 4 2 3'
_cell_length_a 8.521
_cell_length_b 8.521
_cell_length_c 8.521
_cell_angle_alpha 90.00
_cell_angle_beta 90.00
_cell_angle_gamma 90.00
loop_
_atom_site_label
_atom_site_type_symbol
_atom_site_fract_x
_atom_site_fract_y
_atom_site_fract_z
Rb1 Rb 0.250 0.250 0.250
Mn1 Mn 0.000 0.000 0.000
Zn1 Zn 0.000 0.000 0.500
H1 H 0.000 0.000 0.197
```